NbNi2Sb2: optimized geometry, PBE-GGA.

Properties
Energy relative to the lowest polymorph listed for this composition (kJ/mol of formula units): 0.0

Lattice parameters (Å, degrees): 6.9450 6.9450 3.5140 90.00 90.00 90.00
Closest atoms and distances in Å follow each position.
Space group P4/mbm (No. 127)
Symmetry-distinct sites (fractional):
Nb 0.0000 0.0000 0.0000 (multiplicity 2)  4 Ni 2.76
Ni 0.1212 0.3788 0.0000 (multiplicity 4)  1 Ni 2.38, 2 Sb 2.64
Sb 0.1785 0.6785 0.5000 (multiplicity 4)  6 Ni 2.64-2.75